Here is a relaxed structure of ScCuNi2B from the Alexandria database. Energies are from PBE. Values from VASP.

Geometry as Quantum ESPRESSO input:
```
&SYSTEM
  ibrav = 0, nat = 5, ntyp = 4
/
ATOMIC_SPECIES
Sc 44.96 Sc.upf
Ni 58.69 Ni.upf
B 10.81 B.upf
Cu 63.55 Cu.upf
CELL_PARAMETERS angstrom
3.954 0.000 0.000
0.000 3.954 0.000
0.000 0.000 3.960
ATOMIC_POSITIONS crystal
Sc 0.500 0.500 0.500
Ni 0.000 0.500 0.000
Ni 0.500 0.000 0.000
B 0.000 0.000 0.000
Cu 0.000 0.000 0.500
```

Calculated values
Energy relative to the elements in eV/atom: -0.29
SG: P4/mmm (123)

Here is a relaxed structure of ErAgS2 from the Alexandria database. Energies are from PBE. Values from VASP.

Geometry as Quantum ESPRESSO input:
```
&SYSTEM
  ibrav = 0, nat = 8, ntyp = 3
/
ATOMIC_SPECIES
Er 167.26 Er.upf
Ag 107.87 Ag.upf
S 32.06 S.upf
CELL_PARAMETERS angstrom
7.128 0.023 0.000
3.039 6.448 0.000
-5.083 -3.235 3.808
ATOMIC_POSITIONS crystal
Er 0.754 0.254 0.500
Er 0.004 0.004 0.000
Ag 0.211 0.711 0.500
Ag 0.461 0.461 0.000
S 0.983 0.483 0.500
S 0.233 0.233 0.000
S 0.530 0.030 0.500
S 0.780 0.780 0.000
```

Calculated values
Formation energy without anion corrections in eV per atom: -1.3037
SG: I4_1md (109)

Here is a relaxed structure of HgPd15Pb4 from the Alexandria database. Energies are from PBE. Values from VASP.

Geometry as Quantum ESPRESSO input:
```
&SYSTEM
  ibrav = 0, nat = 20, ntyp = 3
/
ATOMIC_SPECIES
Hg 200.59 Hg.upf
Pd 106.42 Pd.upf
Pb 207.20 Pb.upf
CELL_PARAMETERS angstrom
-2.253 2.704 2.091
-3.377 -1.370 -1.866
-2.673 -13.809 14.977
ATOMIC_POSITIONS crystal
Hg 0.000 0.000 0.000
Pd 0.500 0.500 0.000
Pd 0.500 0.500 0.200
Pd 0.500 0.500 0.400
Pd 0.500 0.500 0.600
Pd 0.500 0.500 0.800
Pd 0.500 0.000 0.099
Pd 0.500 0.000 0.299
Pd 0.500 0.000 0.500
Pd 0.500 0.000 0.701
Pd 0.500 0.000 0.901
Pd 0.000 0.500 0.099
Pd 0.000 0.500 0.299
Pd 0.000 0.500 0.500
Pd 0.000 0.500 0.701
Pd 0.000 0.500 0.901
Pb 0.000 0.000 0.197
Pb 0.000 0.000 0.399
Pb 0.000 0.000 0.601
Pb 0.000 0.000 0.803
```

Calculated values
Energy relative to the elements in eV/atom: -0.24
SG: P4/mmm (123)